1.
Density functional theory data (PBE) for an optimized crystal structure of Sr2Sn5Pt.

Unit cell a=7.2259 b=7.2259 c=7.2259 alpha=79.48 beta=126.25 gamma=126.25
Positions (direct):
Sr: 0.5000 0.2477 0.7477
Sr: 0.5000 0.7477 0.2477
Sn: 0.4832 0.7473 0.7473
Sn: 0.0000 0.7473 0.2641
Sn: 0.0000 0.2641 0.7473
Sn: 0.5168 0.2641 0.2641
Sn: 0.0000 0.3142 0.3142
Pt: 0.0000 0.8897 0.8897

Output
E_tot: -4.139 eV per atom
Magnetic moment: 0.00 μB/atom

2.
Density functional theory data (PBE) for an optimized crystal structure of KSrTi3.

Unit cell a=5.0687 b=5.0687 c=5.0687 alpha=90.00 beta=90.00 gamma=90.00
Site moments in Bohr magnetons follow the coordinates.
Positions (direct):
Sr: 0.5000 0.5000 0.5000  -0.01
K: 0.0000 0.0000 0.0000  0.12
Ti: 0.0000 0.5000 0.0000  0.81
Ti: 0.0000 0.0000 0.5000  0.89
Ti: 0.5000 0.0000 0.0000  0.66

Output
E_tot: -3.484 eV per atom
Magnetic moment: 0.60 μB/atom
Energy above the lowest structure with this stoichiometry: 0 meV/atom

3.
Density functional theory data (PBE) for an optimized crystal structure of TmCu6.

Unit cell a=5.0159 b=7.9315 c=9.9792 alpha=90.00 beta=90.00 gamma=90.00
Positions (direct):
Tm: 0.7500 0.2423 0.9347
Tm: 0.2500 0.7577 0.0653
Tm: 0.7500 0.7423 0.5653
Tm: 0.2500 0.2577 0.4347
Cu: 0.7500 0.6013 0.0179
Cu: 0.2500 0.3987 0.9821
Cu: 0.7500 0.1013 0.4821
Cu: 0.2500 0.8987 0.5179
Cu: 0.0072 0.4354 0.1917
Cu: 0.5072 0.5646 0.8083
Cu: 0.4928 0.9354 0.3083
Cu: 0.9928 0.0646 0.6917
Cu: 0.9928 0.5646 0.8083
Cu: 0.4928 0.4354 0.1917
Cu: 0.5072 0.0646 0.6917
Cu: 0.0072 0.9354 0.3083
Cu: 0.2500 0.1460 0.1457
Cu: 0.7500 0.8540 0.8543
Cu: 0.2500 0.6460 0.3543
Cu: 0.7500 0.3540 0.6457
Cu: 0.2500 0.8160 0.7579
Cu: 0.7500 0.1840 0.2421
Cu: 0.2500 0.3160 0.7421
Cu: 0.7500 0.6840 0.2579
Cu: 0.2500 0.5631 0.5909
Cu: 0.7500 0.4369 0.4091
Cu: 0.2500 0.0631 0.9091
Cu: 0.7500 0.9369 0.0909

Output
E_tot: -4.312 eV per atom
Magnetic moment: 0.00 μB/atom
Energy above the lowest structure with this stoichiometry: 0 meV/atom

4.
Density functional theory data (PBE) for an optimized crystal structure of K4ScMn.

Unit cell a=7.3402 b=7.3402 c=7.3402 alpha=60.00 beta=60.00 gamma=60.00
Site moments in Bohr magnetons follow the coordinates.
Positions (direct):
K: 0.8736 0.3755 0.3755  0.00
K: 0.3755 0.3755 0.8736  0.00
K: 0.3755 0.8736 0.3755  0.00
K: 0.3755 0.3755 0.3755  0.00
Sc: 0.0000 0.0000 0.0000  0.60
Mn: 0.7500 0.7500 0.7500  4.41

Output
E_tot: -2.351 eV per atom
Magnetic moment: 0.99 μB/atom

5.
Density functional theory data (PBE) for an optimized crystal structure of TbTm5N6.

Unit cell a=5.9211 b=5.9215 c=5.9226 alpha=60.01 beta=80.41 gamma=70.54
Positions (direct):
Tm: 0.5000 0.1672 0.6657
Tm: 0.0000 0.3334 0.3333
Tm: 0.5000 0.5000 0.0000
Tm: 0.0000 0.6666 0.6667
Tm: 0.5000 0.8328 0.3343
Tb: 0.0000 0.0000 0.0000
N: 0.7481 0.0839 0.3369
N: 0.2519 0.5792 0.3369
N: 0.2519 0.2530 0.0000
N: 0.7481 0.7470 0.0000
N: 0.7481 0.4208 0.6631
N: 0.2519 0.9161 0.6631

Output
E_tot: -8.209 eV per atom
Formation energy (no corrections): -1.7973 eV per atom
Magnetic moment: 0.00 μB/atom

6.
Density functional theory data (PBE) for an optimized crystal structure of NdThIrRu.

Unit cell a=5.0220 b=5.0220 c=5.0220 alpha=60.00 beta=60.00 gamma=60.00
Positions (direct):
Ru: 0.7500 0.7500 0.7500
Ir: 0.2500 0.2500 0.2500
Nd: 0.0000 0.0000 0.0000
Th: 0.5000 0.5000 0.5000

Output
E_tot: -8.040 eV per atom
Magnetic moment: 0.00 μB/atom

7.
Density functional theory data (PBE) for an optimized crystal structure of MgGaGe.

Unit cell a=6.7417 b=5.1620 c=8.8866 alpha=90.00 beta=131.79 gamma=90.00
Positions (direct):
Mg: 0.8280 0.1233 0.2212
Mg: 0.3280 0.8767 0.7212
Mg: 0.8280 0.6233 0.7212
Mg: 0.3280 0.3767 0.2212
Ga: 0.3281 0.8758 0.0612
Ga: 0.8281 0.1242 0.5612
Ga: 0.3281 0.3758 0.5612
Ga: 0.8281 0.6242 0.0612
Ge: 0.3279 0.8759 0.3838
Ge: 0.8279 0.1241 0.8838
Ge: 0.3279 0.3759 0.8838
Ge: 0.8279 0.6241 0.3838

Output
E_tot: -3.126 eV per atom
Magnetic moment: 0.00 μB/atom
Energy above the lowest structure with this stoichiometry: 14 meV/atom